No. 1
# Nd2Dy5Tm2 | Alexandria via LeMat-Bulk | PBE-GGA | optimized geometry
data_Nd2Dy5Tm2
_cell_length_a 11.758
_cell_length_b 6.720
_cell_length_c 10.063
_cell_angle_alpha 109.50
_cell_angle_beta 125.75
_cell_angle_gamma 90.00
_space_group_name_H-M_alt 'P 1'
_space_group_IT_number 1
loop_
_space_group_symop_operation_xyz
'x,y,z'
loop_
_atom_site_label
_atom_site_type_symbol
_atom_site_fract_x
_atom_site_fract_y
_atom_site_fract_z
Nd1 Nd 0.125 0.686 0.254
Nd2 Nd 0.875 0.432 0.746
Nd3 Nd 0.628 0.186 0.254
Nd4 Nd 0.372 0.932 0.746
Dy1 Dy 0.202 0.655 0.895
Dy2 Dy 0.798 0.760 0.105
Dy3 Dy 0.193 0.155 0.895
Dy4 Dy 0.807 0.260 0.105
Dy5 Dy 0.378 0.028 0.287
Dy6 Dy 0.622 0.741 0.713
Dy7 Dy 0.408 0.528 0.287
Dy8 Dy 0.592 0.241 0.713
Dy9 Dy 0.003 0.660 0.500
Dy10 Dy 0.997 0.160 0.500
Tm1 Tm 0.000 0.016 0.000
Tm2 Tm 0.500 0.516 0.000
Tm3 Tm 0.262 0.357 0.500
Tm4 Tm 0.738 0.857 0.500
# **Energy relative to the elements**: 0.2187 eV/atom
# **Polymorph energy (0 for the lowest one)**: 200 meV/atom
# **DFT total energy**: -79.042 eV/cell
# **Total magnetization**: 0.00 μB/atom

No. 2
# Nd5DyTm12 | Alexandria via LeMat-Bulk | PBE-GGA | optimized geometry
data_Nd5DyTm12
_cell_length_a 10.608
_cell_length_b 10.619
_cell_length_c 6.135
_cell_angle_alpha 106.57
_cell_angle_beta 90.00
_cell_angle_gamma 60.03
_space_group_name_H-M_alt 'P 1'
_space_group_IT_number 1
loop_
_space_group_symop_operation_xyz
'x,y,z'
loop_
_atom_site_label
_atom_site_type_symbol
_atom_site_fract_x
_atom_site_fract_y
_atom_site_fract_z
Nd1 Nd 0.500 0.000 0.500
Nd2 Nd 0.166 0.668 0.501
Nd3 Nd 0.834 0.332 0.499
Nd4 Nd 0.667 0.667 0.999
Nd5 Nd 0.333 0.333 0.001
Dy1 Dy 0.000 0.000 0.000
Tm1 Tm 0.833 0.000 0.500
Tm2 Tm 0.167 0.000 0.500
Tm3 Tm 0.669 0.000 0.000
Tm4 Tm 0.331 0.000 0.000
Tm5 Tm 0.333 0.668 0.001
Tm6 Tm 0.998 0.668 0.001
Tm7 Tm 0.002 0.332 0.999
Tm8 Tm 0.667 0.332 0.999
Tm9 Tm 0.502 0.333 0.501
Tm10 Tm 0.835 0.667 0.499
Tm11 Tm 0.165 0.333 0.501
Tm12 Tm 0.498 0.667 0.499
# **Energy relative to the elements**: 0.0236 eV/atom
# **DFT total energy**: -81.675 eV/cell
# **Total magnetization**: 0.00 μB/atom